LaMnCd: relaxed, PBE.

Results
DOS at the Fermi energy: 3.0 states/eV/f.u.
energy of formation from the pure elements: 0.337 eV/atom
space group: P3m1, No. 156
calculated density: 6.9 g cm⁻³

Geometry as extended XYZ:
```
3
Lattice="3.360 0.000 0.000 -1.680 2.910 0.000 0.000 0.000 7.576" Properties=species:S:1:pos:R:3 pbc="T T T"
Cd 0.000 0.000 7.323
La 0.000 1.940 2.646
Mn 1.680 0.970 5.183
```

=====

PuNiSbH: relaxed, PBE.

Results
DOS at the Fermi energy: 12.0 states/eV/f.u.
energy: -7.40 eV per atom
space group: P3m1, No. 156
calculated density: 10.6 g cm⁻³

Geometry as extended XYZ:
```
4
Lattice="-2.482 1.518 3.157 3.567 -2.195 0.942 2.180 3.547 0.008" Properties=species:S:1:pos:R:3 pbc="T T T"
Pu -0.210 1.686 1.944
Ni 2.708 1.914 1.209
Sb 2.474 2.571 3.628
H 1.868 0.547 1.205
```

=====

CuRh2: relaxed, PBE.

Results
DOS at the Fermi energy: 6.2 states/eV/f.u.
energy of formation from the pure elements: 0.855 eV/atom
space group: Pa-3, No. 205
calculated density: 9.4 g cm⁻³

Geometry as extended XYZ:
```
12
Lattice="5.758 0.000 0.000 0.000 5.758 0.000 0.000 0.000 5.758" Properties=species:S:1:pos:R:3 pbc="T T T"
Rh 0.714 3.593 5.044
Rh 0.714 5.044 2.165
Rh 2.165 0.714 5.044
Rh 2.165 2.165 2.165
Rh 3.593 3.593 3.593
Rh 3.593 5.044 0.714
Rh 5.044 0.714 3.593
Rh 5.044 2.165 0.714
Cu 0.000 0.000 0.000
Cu 0.000 2.879 2.879
Cu 2.879 0.000 2.879
Cu 2.879 2.879 0.000
```